1.
Entry from Alexandria: crystalline Te3PdPt at its relaxed geometry (GGA-PBE).

Cell: 7.240 7.240 7.240 Å, 57.66 57.66 57.66°
Fractional coordinates of all 10 atoms:
Te 0.054 0.453 0.744
Te 0.256 0.946 0.547
Te 0.453 0.744 0.054
Te 0.547 0.256 0.946
Te 0.744 0.054 0.453
Te 0.946 0.547 0.256
Pd 0.147 0.147 0.147
Pd 0.853 0.853 0.853
Pt 0.348 0.348 0.348
Pt 0.652 0.652 0.652

Calculated values
The total magnetization is 0.0 μB/f.u. The total energy comes out at -0.1633 hartree per atom. As for the space group: R-3, No. 148. The value obtained for the uncorrected formation energy is -0.31 eV per atom.

***

2.
Entry from Alexandria: crystalline CePaC2 at its relaxed geometry (GGA-PBE).

Cell: 6.508 6.508 6.508 Å, 31.35 31.35 31.35°
Fractional coordinates of all 4 atoms:
Ce 0.000 0.000 0.000
Pa 0.169 0.169 0.169
C 0.427 0.427 0.427
C 0.585 0.585 0.585

Calculated values
The total magnetization is 0.0 μB/f.u. The total energy comes out at -0.3157 hartree per atom. As for the space group: R3m, No. 160.

***

3.
Entry from Alexandria: crystalline CuRhSe at its relaxed geometry (GGA-PBE).

Cell: 4.997 4.997 4.997 Å, 41.77 41.77 41.77°
Fractional coordinates of all 3 atoms:
Cu 0.000 0.000 0.000
Rh 0.208 0.208 0.208
Se 0.780 0.780 0.780

Calculated values
The total magnetization is 0.0 μB/f.u. The total energy comes out at -0.1804 hartree per atom. As for the space group: R3m, No. 160. The value obtained for the uncorrected formation energy is 0.07 eV per atom.

***

4.
Entry from Alexandria: crystalline YCoMo2 at its relaxed geometry (GGA-PBE).

Cell: 4.791 4.791 5.347 Å, 109.08 109.08 39.49°
Fractional coordinates of all 4 atoms:
Y 0.000 0.000 0.000
Co 0.761 0.761 0.316
Mo 0.209 0.209 0.657
Mo 0.479 0.479 0.476

Calculated values
The total magnetization is 0.0 μB/f.u. The total energy comes out at -0.3103 hartree per atom. As for the space group: Cm, No. 8.

***

5.
Entry from Alexandria: crystalline YHo12Sc6 at its relaxed geometry (GGA-PBE).

Cell: 9.011 9.011 9.011 Å, 109.47 109.47 109.47°
Fractional coordinates of all 19 atoms:
Y 0.000 0.000 0.000
Ho 0.071 0.267 0.804
Ho 0.196 0.463 0.267
Ho 0.196 0.929 0.733
Ho 0.267 0.196 0.463
Ho 0.267 0.804 0.071
Ho 0.463 0.267 0.196
Ho 0.537 0.733 0.804
Ho 0.733 0.196 0.929
Ho 0.733 0.804 0.537
Ho 0.804 0.071 0.267
Ho 0.804 0.537 0.733
Ho 0.929 0.733 0.196
Sc 0.138 0.500 0.638
Sc 0.362 0.862 0.500
Sc 0.500 0.362 0.862
Sc 0.500 0.638 0.138
Sc 0.638 0.138 0.500
Sc 0.862 0.500 0.362

Calculated values
The total magnetization is 0.0 μB/f.u. The total energy comes out at -0.1833 hartree per atom. As for the space group: Im-3, No. 204.

***

6.
Entry from Alexandria: crystalline BiH2Pd6 at its relaxed geometry (GGA-PBE).

Cell: 4.928 4.928 9.045 Å, 98.18 98.18 36.02°
Fractional coordinates of all 9 atoms:
Bi 0.000 0.000 0.000
H 0.130 0.130 0.675
H 0.870 0.870 0.325
Pd 0.061 0.061 0.307
Pd 0.250 0.250 0.857
Pd 0.350 0.350 0.433
Pd 0.650 0.650 0.567
Pd 0.750 0.750 0.143
Pd 0.939 0.939 0.693

Calculated values
The total magnetization is 0.0 μB/f.u. The total energy comes out at -0.1740 hartree per atom. As for the space group: C2/m, No. 12.

***

7.
Entry from Alexandria: crystalline DyCuGe2 at its relaxed geometry (GGA-PBE).

Cell: 9.661 9.661 9.661 Å, 155.78 155.78 34.52°
Fractional coordinates of all 8 atoms:
Dy 0.120 0.120 0.000
Dy 0.880 0.880 0.000
Cu 0.250 0.750 0.500
Cu 0.750 0.250 0.500
Ge 0.000 0.500 0.500
Ge 0.327 0.327 0.000
Ge 0.500 0.000 0.500
Ge 0.673 0.673 0.000

Calculated values
The total magnetization is 0.0 μB/f.u. The total energy comes out at -0.1823 hartree per atom. As for the space group: I4/mmm, No. 139.

***

8.
Entry from Alexandria: crystalline LiSn2Ge at its relaxed geometry (GGA-PBE).

Cell: 6.537 6.537 6.537 Å, 101.60 101.60 126.71°
Fractional coordinates of all 8 atoms:
Li 0.000 0.000 0.000
Li 0.750 0.250 0.500
Sn 0.174 0.625 0.049
Sn 0.375 0.424 0.549
Sn 0.576 0.125 0.951
Sn 0.875 0.826 0.451
Ge 0.250 0.750 0.500
Ge 0.500 0.500 0.000

Calculated values
The total magnetization is 0.0 μB/f.u. The total energy comes out at -0.1348 hartree per atom. As for the space group: I-42d, No. 122.

***

9.
Entry from Alexandria: crystalline TmSiPt at its relaxed geometry (GGA-PBE).

Cell: 6.914 4.260 7.427 Å, 90.00 90.00 90.00°
Fractional coordinates of all 12 atoms:
Tm 0.003 0.250 0.201
Tm 0.497 0.750 0.701
Tm 0.503 0.250 0.299
Tm 0.997 0.750 0.799
Si 0.187 0.250 0.588
Si 0.313 0.750 0.088
Si 0.687 0.250 0.912
Si 0.813 0.750 0.412
Pt 0.201 0.750 0.414
Pt 0.299 0.250 0.914
Pt 0.701 0.750 0.086
Pt 0.799 0.250 0.586

Calculated values
The total magnetization is 0.0 μB/f.u. The total energy comes out at -0.2400 hartree per atom. As for the space group: Pnma, No. 62. The value obtained for the uncorrected formation energy is -1.22 eV per atom.

***

10.
Entry from Alexandria: crystalline Mn2TcCl at its relaxed geometry (GGA-PBE).

Cell: 2.954 2.954 7.296 Å, 90.00 90.00 90.00°
Fractional coordinates of all 4 atoms:
Mn 0.000 0.000 0.224
Mn 0.000 0.000 0.776
Tc 0.500 0.500 0.000
Cl 0.500 0.500 0.500

Calculated values
The total magnetization is 6.6 μB/f.u. The total energy comes out at -0.2736 hartree per atom. As for the space group: P4/mmm, No. 123. The value obtained for the uncorrected formation energy is 0.19 eV per atom.

***

11.
Entry from Alexandria: crystalline CdInW2 at its relaxed geometry (GGA-PBE).

Cell: 2.813 2.813 9.223 Å, 90.00 90.00 90.00°
Fractional coordinates of all 4 atoms:
Cd 0.000 0.000 0.000
In 0.000 0.000 0.500
W 0.500 0.500 0.251
W 0.500 0.500 0.749

Calculated values
The total magnetization is 0.0 μB/f.u. The total energy comes out at -0.2444 hartree per atom. As for the space group: P4/mmm, No. 123.

***

12.
Entry from Alexandria: crystalline CrN2 at its relaxed geometry (GGA-PBE).

Cell: 6.534 6.534 5.114 Å, 90.00 90.00 90.26°
Fractional coordinates of all 12 atoms:
Cr 0.001 0.346 0.125
Cr 0.346 0.001 0.875
Cr 0.654 0.999 0.375
Cr 0.999 0.654 0.625
N 0.090 0.501 0.374
N 0.188 0.812 0.750
N 0.191 0.191 0.000
N 0.499 0.910 0.126
N 0.501 0.090 0.626
N 0.809 0.809 0.500
N 0.812 0.188 0.250
N 0.910 0.499 0.874

Calculated values
The total magnetization is 0.0 μB/f.u. The total energy comes out at -0.3165 hartree per atom. As for the space group: C222_1, No. 20. The value obtained for the uncorrected formation energy is 0.15 eV per atom.